Record 1
An optimized crystal structure of KCaP2, computed with GGA-PBE.

```
4
Lattice="-7.036 3.883 -1.847 -7.600 2.637 1.812 3.095 2.158 1.212" Properties=species:S:1:pos:R:3 pbc="T T T"
Ca -4.879 3.963 0.598
K -2.827 1.320 0.014
P 0.306 0.372 0.174
P -9.914 7.362 0.980
```

energy relative to the elements: -670 meV/atom
space-group type: Cm, No. 8
total moment: 0.00 μB per formula unit
crystal system: monoclinic
DFT total energy: -16.600 eV per cell
relative energy among the computed polymorphs: 18 meV per atom

=====

Record 2
An optimized crystal structure of KCaP2, computed with GGA-PBE.

```
4
Lattice="5.606 0.000 0.000 0.000 5.606 0.000 0.000 0.000 2.897" Properties=species:S:1:pos:R:3 pbc="T T T"
Ca 2.803 0.000 1.449
K 0.000 2.803 1.449
P 0.000 0.000 0.000
P 2.803 2.803 0.000
```

energy relative to the elements: -206 meV/atom
space-group type: P4/mmm, No. 123
total moment: 0.00 μB per formula unit
crystal system: tetragonal
DFT total energy: -14.741 eV per cell
relative energy among the computed polymorphs: 483 meV per atom